# LaCoSb2O8

A relaxed structure of LaCoSb2O8 (PBE+U, Alexandria).

```
data_LaCoSb2O8
_chemical_formula_sum 'La1 Co1 Sb2 O8'
_cell_length_a 4.972
_cell_length_b 6.458
_cell_length_c 4.994
_cell_angle_alpha 90.00
_cell_angle_beta 94.75
_cell_angle_gamma 90.00
_symmetry_space_group_name_H-M 'P 1 2/m 1'
_symmetry_Int_Tables_number 10
loop_
_symmetry_equiv_pos_as_xyz
'x,y,z'
'-x,-y,-z'
'-x,y,-z'
'x,-y,z'
loop_
_atom_site_label
_atom_site_type_symbol
_atom_site_fract_x
_atom_site_fract_y
_atom_site_fract_z
La1 La 0.000 0.000 0.000
Co1 Co 0.000 0.500 0.000
Sb1 Sb 0.500 0.263 0.500
O1 O 0.190 0.284 0.224
O2 O 0.324 0.500 0.700
O3 O 0.349 0.000 0.685
```

Properties
E	-77.56	eV/f.u.
total magnetic moment	4.0	μB/f.u.

***

# La2Co2Se2O3

A relaxed structure of La2Co2Se2O3 (PBE+U, Alexandria).

```
data_La2Co2Se2O3
_chemical_formula_sum 'La4 Co4 Se4 O6'
_cell_length_a 4.102
_cell_length_b 4.102
_cell_length_c 18.554
_cell_angle_alpha 90.00
_cell_angle_beta 90.00
_cell_angle_gamma 90.00
_symmetry_space_group_name_H-M 'I 4/m m m'
_symmetry_Int_Tables_number 139
_symmetry_space_group_name_Hall '-I 4 2'
loop_
_atom_site_label
_atom_site_type_symbol
_atom_site_fract_x
_atom_site_fract_y
_atom_site_fract_z
La1 La 0.000 0.000 0.184
Co1 Co 0.000 0.500 0.000
Se1 Se 0.000 0.000 0.404
O1 O 0.000 0.000 0.000
O2 O 0.000 0.500 0.250
```

Properties
E	-59.62	eV/f.u.
total magnetic moment	6.0	μB/f.u.

***

# LaCoSe2O8

A relaxed structure of LaCoSe2O8 (PBE+U, Alexandria).

```
data_LaCoSe2O8
_chemical_formula_sum 'La1 Co1 Se2 O8'
_cell_length_a 5.5709
_cell_length_b 5.5709
_cell_length_c 6.9185
_cell_angle_alpha 90.00
_cell_angle_beta 90.00
_cell_angle_gamma 120.00
_symmetry_space_group_name_H-M 'P -3 m 1'
_symmetry_Int_Tables_number 164
_symmetry_space_group_name_Hall '-P 3 2"'
loop_
_atom_site_label
_atom_site_type_symbol
_atom_site_fract_x
_atom_site_fract_y
_atom_site_fract_z
La1 La 0.0000 0.0000 0.0000
Co1 Co 0.0000 0.0000 0.5000
Se1 Se 0.3333 0.6667 0.2347
O1 O 0.1575 0.3150 0.2930
O2 O 0.3333 0.6667 0.9913
```

Properties
E	-71.44	eV/f.u.
total magnetic moment	2.6	μB/f.u.